Entry 1:
Cd3AgPt12 | GGA-PBE | optimized geometry

Cell and atoms, written as CIF:
```
data_Cd3AgPt12
_space_group_name_H-M_alt 'P 4/m m m'
_space_group_IT_number 123
_space_group_name_Hall '-P 4 2'
_cell_length_a 4.028
_cell_length_b 4.028
_cell_length_c 16.141
_cell_angle_alpha 90.00
_cell_angle_beta 90.00
_cell_angle_gamma 90.00
loop_
_atom_site_label
_atom_site_type_symbol
_atom_site_fract_x
_atom_site_fract_y
_atom_site_fract_z
Cd1 Cd 0.000 0.000 0.000
Cd2 Cd 0.000 0.000 0.251
Ag1 Ag 0.000 0.000 0.500
Pt1 Pt 0.000 0.500 0.126
Pt2 Pt 0.000 0.500 0.376
Pt3 Pt 0.500 0.500 0.000
Pt4 Pt 0.500 0.500 0.251
Pt5 Pt 0.500 0.500 0.500
```

Values from the calculation:
energy relative to the elements	-0.135	eV/atom


Entry 2:
CsErGeTe3 | GGA-PBE | optimized geometry

Cell and atoms, written as CIF:
```
data_CsErGeTe3
_space_group_name_H-M_alt 'P 1 21/m 1'
_space_group_IT_number 11
_cell_length_a 9.818
_cell_length_b 4.318
_cell_length_c 12.257
_cell_angle_alpha 90.00
_cell_angle_beta 113.43
_cell_angle_gamma 90.00
loop_
_space_group_symop_operation_xyz
'x,y,z'
'-x,-y,-z'
'-x,y+1/2,-z'
'x,-y+1/2,z'
loop_
_atom_site_label
_atom_site_type_symbol
_atom_site_fract_x
_atom_site_fract_y
_atom_site_fract_z
Cs1 Cs 0.233 0.250 0.279
Er1 Er 0.368 0.750 0.844
Ge1 Ge 0.116 0.250 0.555
Te1 Te 0.123 0.250 0.778
Te2 Te 0.318 0.750 0.578
Te3 Te 0.395 0.750 0.100
```

Values from the calculation:
formation energy without anion corrections	-0.957	eV per atom


Entry 3:
SmGdBeAg | GGA-PBE | optimized geometry

Cell and atoms, written as CIF:
```
data_SmGdBeAg
_space_group_name_H-M_alt 'F -4 3 m'
_space_group_IT_number 216
_space_group_name_Hall 'F -4 2 3'
_cell_length_a 7.207
_cell_length_b 7.207
_cell_length_c 7.207
_cell_angle_alpha 90.00
_cell_angle_beta 90.00
_cell_angle_gamma 90.00
loop_
_atom_site_label
_atom_site_type_symbol
_atom_site_fract_x
_atom_site_fract_y
_atom_site_fract_z
Sm1 Sm 0.000 0.000 0.000
Gd1 Gd 0.000 0.000 0.500
Be1 Be 0.250 0.250 0.750
Ag1 Ag 0.250 0.250 0.250
```

Values from the calculation:
energy relative to the elements	-0.023	eV/atom


Entry 4:
TcI6O2 | GGA-PBE | optimized geometry

Cell and atoms, written as CIF:
```
data_TcI6O2
_space_group_name_H-M_alt 'P 4/m n c'
_space_group_IT_number 128
_space_group_name_Hall '-P 4 2n'
_cell_length_a 8.107
_cell_length_b 8.107
_cell_length_c 8.610
_cell_angle_alpha 90.00
_cell_angle_beta 90.00
_cell_angle_gamma 90.00
loop_
_atom_site_label
_atom_site_type_symbol
_atom_site_fract_x
_atom_site_fract_y
_atom_site_fract_z
Tc1 Tc 0.000 0.000 0.000
I1 I 0.000 0.000 0.313
I2 I 0.091 0.317 0.000
O1 O 0.000 0.500 0.250
```

Values from the calculation:
formation energy without anion corrections	0.466	eV per atom
E above lowest polymorph	396.4	meV per atom


Entry 5:
CaCd2AsRh2 | GGA-PBE | optimized geometry

Cell and atoms, written as CIF:
```
data_CaCd2AsRh2
_space_group_name_H-M_alt 'P 4/m m m'
_space_group_IT_number 123
_space_group_name_Hall '-P 4 2'
_cell_length_a 4.693
_cell_length_b 4.693
_cell_length_c 5.987
_cell_angle_alpha 90.00
_cell_angle_beta 90.00
_cell_angle_gamma 90.00
loop_
_atom_site_label
_atom_site_type_symbol
_atom_site_fract_x
_atom_site_fract_y
_atom_site_fract_z
Ca1 Ca 0.000 0.000 0.000
Cd1 Cd 0.500 0.500 0.231
As1 As 0.000 0.000 0.500
Rh1 Rh 0.000 0.500 0.500
```

Values from the calculation:
energy relative to the elements	-0.322	eV/atom


Entry 6:
Rb2MnInS4 | GGA-PBE | optimized geometry

Cell and atoms, written as CIF:
```
data_Rb2MnInS4
_space_group_name_H-M_alt 'F d d d'
_space_group_IT_number 70
_cell_length_a 6.167
_cell_length_b 14.435
_cell_length_c 23.086
_cell_angle_alpha 90.00
_cell_angle_beta 90.00
_cell_angle_gamma 90.00
loop_
_space_group_symop_operation_xyz
'x,y,z'
'-x,-y,-z'
'-x+1/4,-y+1/4,z'
'x+1/4,y+1/4,-z'
'x,-y+1/4,-z+1/4'
'-x,y+1/4,z+1/4'
'-x+1/4,y,-z+1/4'
'x+1/4,-y,z+1/4'
'x,y+1/2,z+1/2'
'-x,-y+1/2,-z+1/2'
'-x+1/4,-y+3/4,z+1/2'
'x+1/4,y+3/4,-z+1/2'
'x,-y+3/4,-z+3/4'
'-x,y+3/4,z+3/4'
'-x+1/4,y+1/2,-z+3/4'
'x+1/4,-y+1/2,z+3/4'
'x+1/2,y,z+1/2'
'-x+1/2,-y,-z+1/2'
'-x+3/4,-y+1/4,z+1/2'
'x+3/4,y+1/4,-z+1/2'
'x+1/2,-y+1/4,-z+3/4'
'-x+1/2,y+1/4,z+3/4'
'-x+3/4,y,-z+3/4'
'x+3/4,-y,z+3/4'
'x+1/2,y+1/2,z'
'-x+1/2,-y+1/2,-z'
'-x+3/4,-y+3/4,z'
'x+3/4,y+3/4,-z'
'x+1/2,-y+3/4,-z+1/4'
'-x+1/2,y+3/4,z+1/4'
'-x+3/4,y+1/2,-z+1/4'
'x+3/4,-y+1/2,z+1/4'
loop_
_atom_site_label
_atom_site_type_symbol
_atom_site_fract_x
_atom_site_fract_y
_atom_site_fract_z
Rb1 Rb 0.125 0.125 0.305
Mn1 Mn 0.125 0.125 0.625
In1 In 0.125 0.125 0.125
S1 S 0.106 0.274 0.827
```

Values from the calculation:
formation energy without anion corrections	-0.815	eV per atom


Entry 7:
Sm6Al3Fe11 | GGA-PBE | optimized geometry

Cell and atoms, written as CIF:
```
data_Sm6Al3Fe11
_space_group_name_H-M_alt 'I 4 c m'
_space_group_IT_number 108
_space_group_name_Hall 'I 4 -2c'
_cell_length_a 8.062
_cell_length_b 8.062
_cell_length_c 22.961
_cell_angle_alpha 90.00
_cell_angle_beta 90.00
_cell_angle_gamma 90.00
loop_
_atom_site_label
_atom_site_type_symbol
_atom_site_fract_x
_atom_site_fract_y
_atom_site_fract_z
Sm1 Sm 0.000 0.000 0.000
Sm2 Sm 0.000 0.000 0.212
Sm3 Sm 0.165 0.335 0.420
Sm4 Sm 0.169 0.331 0.798
Al1 Al 0.000 0.000 0.356
Al2 Al 0.120 0.380 0.202
Fe1 Fe 0.000 0.500 0.105
Fe2 Fe 0.069 0.210 0.105
Fe3 Fe 0.114 0.386 0.010
Fe4 Fe 0.175 0.325 0.664
Fe5 Fe 0.179 0.321 0.546
```

Values from the calculation:
energy relative to the elements	-0.142	eV/atom


Entry 8:
HgRhAu | GGA-PBE | optimized geometry

Cell and atoms, written as CIF:
```
data_HgRhAu
_space_group_name_H-M_alt 'I 4 m m'
_space_group_IT_number 107
_space_group_name_Hall 'I 4 -2'
_cell_length_a 3.058
_cell_length_b 3.058
_cell_length_c 11.386
_cell_angle_alpha 90.00
_cell_angle_beta 90.00
_cell_angle_gamma 90.00
loop_
_atom_site_label
_atom_site_type_symbol
_atom_site_fract_x
_atom_site_fract_y
_atom_site_fract_z
Hg1 Hg 0.000 0.000 0.000
Rh1 Rh 0.000 0.000 0.339
Au1 Au 0.000 0.000 0.682
```

Values from the calculation:
energy relative to the elements	0.171	eV/atom
E above lowest polymorph	13.2	meV per atom


Entry 9:
Hf2PH2 | GGA-PBE | optimized geometry

Cell and atoms, written as CIF:
```
data_Hf2PH2
_space_group_name_H-M_alt 'F d d d'
_space_group_IT_number 70
_cell_length_a 7.184
_cell_length_b 7.758
_cell_length_c 8.945
_cell_angle_alpha 90.00
_cell_angle_beta 90.00
_cell_angle_gamma 90.00
loop_
_space_group_symop_operation_xyz
'x,y,z'
'-x,-y,-z'
'-x+1/4,-y+1/4,z'
'x+1/4,y+1/4,-z'
'x,-y+1/4,-z+1/4'
'-x,y+1/4,z+1/4'
'-x+1/4,y,-z+1/4'
'x+1/4,-y,z+1/4'
'x,y+1/2,z+1/2'
'-x,-y+1/2,-z+1/2'
'-x+1/4,-y+3/4,z+1/2'
'x+1/4,y+3/4,-z+1/2'
'x,-y+3/4,-z+3/4'
'-x,y+3/4,z+3/4'
'-x+1/4,y+1/2,-z+3/4'
'x+1/4,-y+1/2,z+3/4'
'x+1/2,y,z+1/2'
'-x+1/2,-y,-z+1/2'
'-x+3/4,-y+1/4,z+1/2'
'x+3/4,y+1/4,-z+1/2'
'x+1/2,-y+1/4,-z+3/4'
'-x+1/2,y+1/4,z+3/4'
'-x+3/4,y,-z+3/4'
'x+3/4,-y,z+3/4'
'x+1/2,y+1/2,z'
'-x+1/2,-y+1/2,-z'
'-x+3/4,-y+3/4,z'
'x+3/4,y+3/4,-z'
'x+1/2,-y+3/4,-z+1/4'
'-x+1/2,y+3/4,z+1/4'
'-x+3/4,y+1/2,-z+1/4'
'x+3/4,-y+1/2,z+1/4'
loop_
_atom_site_label
_atom_site_type_symbol
_atom_site_fract_x
_atom_site_fract_y
_atom_site_fract_z
Hf1 Hf 0.125 0.125 0.343
P1 P 0.125 0.125 0.625
H1 H 0.125 0.251 0.125
```


Entry 10:
TiAgTeN2 | GGA-PBE | optimized geometry

Cell and atoms, written as CIF:
```
data_TiAgTeN2
_space_group_name_H-M_alt 'P 4/m m m'
_space_group_IT_number 123
_space_group_name_Hall '-P 4 2'
_cell_length_a 3.926
_cell_length_b 3.926
_cell_length_c 5.999
_cell_angle_alpha 90.00
_cell_angle_beta 90.00
_cell_angle_gamma 90.00
loop_
_atom_site_label
_atom_site_type_symbol
_atom_site_fract_x
_atom_site_fract_y
_atom_site_fract_z
Ti1 Ti 0.000 0.000 0.000
Ag1 Ag 0.500 0.500 0.500
Te1 Te 0.000 0.000 0.500
N1 N 0.000 0.500 0.000
```

Values from the calculation:
formation energy without anion corrections	0.371	eV per atom
E above lowest polymorph	0.0	meV per atom


Entry 11:
In3CoAg | GGA-PBE | optimized geometry

Cell and atoms, written as CIF:
```
data_In3CoAg
_space_group_name_H-M_alt 'P m -3 m'
_space_group_IT_number 221
_space_group_name_Hall '-P 4 2 3'
_cell_length_a 4.924
_cell_length_b 4.924
_cell_length_c 4.924
_cell_angle_alpha 90.00
_cell_angle_beta 90.00
_cell_angle_gamma 90.00
loop_
_atom_site_label
_atom_site_type_symbol
_atom_site_fract_x
_atom_site_fract_y
_atom_site_fract_z
In1 In 0.000 0.000 0.500
Co1 Co 0.000 0.000 0.000
Ag1 Ag 0.500 0.500 0.500
```

Values from the calculation:
energy relative to the elements	0.164	eV/atom
E above lowest polymorph	0.0	meV per atom


Entry 12:
Mg2CrRu | GGA-PBE | optimized geometry

Cell and atoms, written as CIF:
```
data_Mg2CrRu
_space_group_name_H-M_alt 'P 4/m m m'
_space_group_IT_number 123
_space_group_name_Hall '-P 4 2'
_cell_length_a 3.937
_cell_length_b 3.937
_cell_length_c 4.220
_cell_angle_alpha 90.00
_cell_angle_beta 90.00
_cell_angle_gamma 90.00
loop_
_atom_site_label
_atom_site_type_symbol
_atom_site_fract_x
_atom_site_fract_y
_atom_site_fract_z
Mg1 Mg 0.000 0.500 0.000
Cr1 Cr 0.000 0.000 0.500
Ru1 Ru 0.500 0.500 0.500
```

Values from the calculation:
energy relative to the elements	0.283	eV/atom
E above lowest polymorph	237.7	meV per atom


Volume list, top to bottom, in Å³/cell: 261.8; 476.8; 374.4; 565.9; 131.9; 2055.4; 1492.5; 106.5; 498.5; 92.5; 119.4; 65.4
VASP energy list, top to bottom, in eV/atom: -5.02; -4.20; -6.37; -2.82; -4.19; -4.61; -6.77; -3.47; -7.05; -5.74; -3.47; -5.24